## HgP2NCl (PBE-GGA)

Data for a relaxed structure of HgP2NCl.

Unit cell a=5.0406 b=5.0406 c=4.9802 alpha=90.00 beta=90.00 gamma=90.00
Closest atoms and distances in Å follow each position.
Atoms (fractional coordinates):
P1 0.5000 0.0000 0.0000  2 Hg 2.52
P2 0.0000 0.5000 0.0000  2 Hg 2.52
N1 0.5000 0.5000 0.5000  8 P 3.54, 4 Cl 3.56
Hg1 0.0000 0.0000 0.0000  2 Cl 2.49, 4 P 2.52
Cl1 0.0000 0.0000 0.5000  2 Hg 2.49

Values from the calculation:
* E_form (uncorrected): 11.45 eV/f.u.
* total magnetic moment: 0.000 μB per formula unit
* energy above the most stable polymorph in this dataset: 1465 meV/atom
* symmetry: P4/mmm